The following is a PBEsol calculation of a relaxed CrBN3 crystal, from Alexandria via LeMat-Bulk.

V	9.817	Å³ per atom
E_form (uncorrected)	153.2	kJ/mol of atoms

```
CrBN3
1.0
3.661 0.000 0.000
0.000 3.661 0.000
0.000 0.000 3.661
Cr B N
1 1 3
Direct
0.000 0.000 0.000
0.500 0.500 0.500
0.000 0.500 0.000
0.000 0.000 0.500
0.500 0.000 0.000
```

=====

The following is a PBEsol calculation of a relaxed BiB2H crystal, from Alexandria via LeMat-Bulk.

V	11.080	Å³ per atom
DFT total energy	-34.9	eV/cell

```
BiB2H
1.0
3.701 0.000 0.000
0.000 3.701 0.000
-1.851 -1.851 6.471
H B Bi
2 4 2
Direct
0.750 0.250 0.500
0.500 0.500 0.000
0.552 0.375 0.250
0.698 0.875 0.250
0.625 0.302 0.750
0.125 0.448 0.750
0.250 0.750 0.500
0.000 0.000 0.000
```

=====

The following is a PBEsol calculation of a relaxed CoH4C2O6 crystal, from Alexandria via LeMat-Bulk.

V	8.857	Å³ per atom
DFT total energy	-169.6	eV/cell

```
CoH4C2O6
1.0
5.267 0.000 0.000
2.633 5.843 -0.004
2.633 0.131 7.483
Co H C O
2 8 4 12
Direct
0.578 0.250 0.750
0.422 0.750 0.250
0.498 0.659 0.637
0.794 0.841 0.863
0.206 0.159 0.137
0.502 0.341 0.363
0.364 0.658 0.856
0.878 0.842 0.644
0.636 0.342 0.144
0.122 0.158 0.356
0.972 0.749 0.149
0.028 0.251 0.851
0.130 0.249 0.649
0.870 0.751 0.351
0.383 0.249 0.573
0.795 0.749 0.073
0.205 0.251 0.927
0.617 0.751 0.427
0.399 0.584 0.744
0.727 0.916 0.756
0.273 0.084 0.244
0.601 0.416 0.256
0.773 0.253 0.928
0.953 0.247 0.572
0.227 0.747 0.072
0.047 0.753 0.428
```

=====

The following is a PBEsol calculation of a relaxed Be3Ir crystal, from Alexandria via LeMat-Bulk.

formation enthalpy at 0 K	-0.360	eV/atom
V	9.603	Å³ per atom

```
Be3Ir
1.0
2.874 0.000 0.000
0.000 3.656 0.000
0.000 0.000 3.656
Be Ir
3 1
Direct
0.500 0.000 0.500
0.500 0.500 0.000
0.000 0.500 0.500
0.000 0.000 0.000
```

=====

The following is a PBEsol calculation of a relaxed ScSiHg2 crystal, from Alexandria via LeMat-Bulk.

V	19.244	Å³ per atom
E_form (uncorrected)	-24.7	kJ/mol of atoms

```
ScSiHg2
1.0
-2.093 -2.922 1.924
-1.327 -1.412 -3.587
5.387 -0.636 0.575
Hg Sc Si
2 1 1
Direct
0.750 0.250 0.500
0.250 0.750 0.500
0.500 0.500 0.000
0.000 0.000 0.000
```

=====

The following is a PBEsol calculation of a relaxed Ti2Ge2W crystal, from Alexandria via LeMat-Bulk.

formation enthalpy at 0 K	-0.539	eV/atom
V	15.180	Å³ per atom

```
Ti2Ge2W
1.0
3.469 0.000 0.000
0.000 6.615 0.000
0.000 0.000 6.615
Ge W Ti
4 2 4
Direct
0.000 0.367 0.867
0.000 0.867 0.633
0.000 0.633 0.133
0.000 0.133 0.367
0.000 0.000 0.000
0.000 0.500 0.500
0.500 0.170 0.670
0.500 0.670 0.830
0.500 0.830 0.330
0.500 0.330 0.170
```

=====

The following is a PBEsol calculation of a relaxed BaOsS2 crystal, from Alexandria via LeMat-Bulk.

V	19.234	Å³ per atom
E_form (uncorrected)	14.9	kJ/mol of atoms

```
BaOsS2
1.0
4.774 0.000 0.000
2.387 4.134 0.000
2.387 1.378 3.898
S Os Ba
2 1 1
Direct
0.250 0.250 0.250
0.750 0.750 0.750
0.500 0.500 0.500
0.000 0.000 0.000
```

=====

The following is a PBEsol calculation of a relaxed KTiTe2N crystal, from Alexandria via LeMat-Bulk.

V	24.692	Å³ per atom
E_form (uncorrected)	-39.7	kJ/mol of atoms

```
KTiTe2N
1.0
3.722 0.000 0.000
0.000 5.759 0.000
0.000 0.000 5.759
N K Te Ti
1 1 2 1
Direct
0.500 0.000 0.000
0.500 0.500 0.500
0.000 0.000 0.500
0.000 0.500 0.000
0.000 0.000 0.000
```

=====

The following is a PBEsol calculation of a relaxed Ba2PdS crystal, from Alexandria via LeMat-Bulk.

V	35.390	Å³ per atom
E_form (uncorrected)	-89.7	kJ/mol of atoms

```
Ba2PdS
1.0
-5.949 -3.889 -3.633
5.270 -3.543 -4.837
0.754 0.374 7.134
S Ba Pd
2 4 2
Direct
0.750 0.250 0.500
0.500 0.500 0.000
0.869 0.375 0.250
0.381 0.875 0.250
0.625 0.619 0.750
0.125 0.131 0.750
0.250 0.750 0.500
0.000 0.000 0.000
```

=====

The following is a PBEsol calculation of a relaxed YCrIn2 crystal, from Alexandria via LeMat-Bulk.

formation enthalpy at 0 K	0.117	eV/atom
V	21.796	Å³ per atom

```
YCrIn2
1.0
3.383 0.048 0.000
-0.050 3.383 0.000
0.000 0.000 7.615
Cr In Y
1 2 1
Direct
0.500 0.500 0.225
0.000 0.000 0.035
0.500 0.500 0.770
0.000 0.000 0.470
```

=====

The following is a PBEsol calculation of a relaxed Mg2ZnPb crystal, from Alexandria via LeMat-Bulk.

formation enthalpy at 0 K	0.009	eV/atom
V	21.621	Å³ per atom

```
Mg2ZnPb
1.0
-2.264 -1.376 1.945
-0.335 -4.061 -3.258
3.725 -1.321 3.406
Mg Pb Zn
2 1 1
Direct
0.000 0.500 0.000
0.000 0.000 0.500
0.500 0.000 0.000
0.500 0.500 0.500
```

=====

The following is a PBEsol calculation of a relaxed HgRuSe2 crystal, from Alexandria via LeMat-Bulk.

V	18.030	Å³ per atom
E_form (uncorrected)	69.7	kJ/mol of atoms

```
HgRuSe2
1.0
4.672 0.000 0.000
2.336 4.046 0.000
2.336 1.349 3.815
Hg Ru Se
1 1 2
Direct
0.500 0.500 0.500
0.250 0.250 0.250
0.000 0.000 0.000
0.750 0.750 0.750
```

=====

The following is a PBEsol calculation of a relaxed AlNiMo2 crystal, from Alexandria via LeMat-Bulk.

formation enthalpy at 0 K	-0.149	eV/atom
V	13.782	Å³ per atom

```
AlNiMo2
1.0
3.342 0.000 0.000
0.000 3.875 0.000
0.000 0.000 4.256
Ni Mo Al
1 2 1
Direct
0.500 0.000 0.500
0.000 0.000 0.000
0.500 0.500 0.000
0.000 0.500 0.500
```

=====

The following is a PBEsol calculation of a relaxed YTl2CrPd crystal, from Alexandria via LeMat-Bulk.

formation enthalpy at 0 K	0.399	eV/atom
V	25.275	Å³ per atom

```
YTl2CrPd
1.0
-3.002 -0.880 -3.769
3.999 -0.277 -3.120
0.347 -4.989 0.888
Y Cr Tl Pd
1 1 2 1
Direct
0.500 0.500 0.500
0.500 0.000 0.000
0.000 0.000 0.500
0.000 0.500 0.000
0.000 0.000 0.000
```

=====

The following is a PBEsol calculation of a relaxed CdGeNO2 crystal, from Alexandria via LeMat-Bulk.

V	13.966	Å³ per atom
E_form (uncorrected)	79.4	kJ/mol of atoms

```
CdGeNO2
1.0
4.097 0.000 0.000
0.000 4.128 0.000
0.000 0.000 4.128
Ge N O Cd
1 1 2 1
Direct
0.500 0.500 0.500
0.500 0.000 0.000
0.000 0.000 0.500
0.000 0.500 0.000
0.000 0.000 0.000
```

=====

The following is a PBEsol calculation of a relaxed Ga2BiS4 crystal, from Alexandria via LeMat-Bulk.

V	23.761	Å³ per atom
E_form (uncorrected)	-59.0	kJ/mol of atoms

```
Ga2BiS4
1.0
7.443 0.000 0.000
0.000 7.443 0.000
0.000 0.000 12.011
Ga Bi S
8 4 16
Direct
0.000 0.500 0.250
0.000 0.500 0.000
0.000 0.500 0.750
0.500 0.000 0.500
0.500 0.000 0.000
0.500 0.000 0.750
0.000 0.500 0.500
0.500 0.000 0.250
0.000 0.000 0.131
0.500 0.500 0.369
0.500 0.500 0.631
0.000 0.000 0.869
0.668 0.160 0.625
0.332 0.160 0.375
0.668 0.840 0.375
0.832 0.340 0.875
0.840 0.668 0.625
0.660 0.832 0.875
0.840 0.332 0.375
0.832 0.660 0.125
0.160 0.668 0.375
0.168 0.340 0.125
0.160 0.332 0.625
0.340 0.832 0.125
0.332 0.840 0.625
0.168 0.660 0.875
0.340 0.168 0.875
0.660 0.168 0.125
```

=====

The following is a PBEsol calculation of a relaxed ScMoIr2 crystal, from Alexandria via LeMat-Bulk.

formation enthalpy at 0 K	-0.133	eV/atom
V	15.859	Å³ per atom

```
ScMoIr2
1.0
3.238 0.000 0.000
0.000 3.238 0.000
0.000 0.000 6.051
Ir Mo Sc
2 1 1
Direct
0.000 0.000 0.993
0.500 0.500 0.274
0.000 0.000 0.466
0.500 0.500 0.767
```

=====

The following is a PBEsol calculation of a relaxed Li2Si2Pt crystal, from Alexandria via LeMat-Bulk.

V	14.172	Å³ per atom
E_form (uncorrected)	-14.2	kJ/mol of atoms

```
Li2Si2Pt
1.0
-2.767 -0.166 2.000
-1.085 -2.742 -1.729
4.922 -2.155 3.708
Si Pt Li
2 1 2
Direct
0.406 0.406 0.813
0.594 0.594 0.187
0.000 0.000 0.000
0.250 0.750 0.500
0.750 0.250 0.500
```

=====

The following is a PBEsol calculation of a relaxed Tm crystal, from Alexandria via LeMat-Bulk.

ΔE to the lowest computed polymorph	0	meV per atom
formation enthalpy at 0 K	0.000	eV/atom
V	28.612	Å³ per atom

```
Tm
1.0
-0.361 -3.456 -0.355
3.076 1.345 0.962
-1.460 -0.383 5.203
Tm
2
Direct
0.333 0.667 0.750
0.667 0.333 0.250
```

=====

The following is a PBEsol calculation of a relaxed KTe2Ru crystal, from Alexandria via LeMat-Bulk.

V	28.810	Å³ per atom
E_form (uncorrected)	2.8	kJ/mol of atoms

```
KTe2Ru
1.0
3.666 0.000 0.000
0.000 3.666 0.000
0.000 0.000 8.573
K Ru Te
1 1 2
Direct
0.000 0.000 0.480
0.500 0.500 0.930
0.000 0.000 0.867
0.500 0.500 0.223
```